# 1
Here is PuCdTc after structural relaxation from the Alexandria database. Energies are from PBE-GGA.

Summary:
For the density of states at the Fermi level, the calculation gives 1.694 states/eV per atom. As for the offset from the most stable computed form: 0.00 kcal/mol of atoms. Its magnetization is 8.69 Bohr magnetons per cell. The calculation puts the total energy at -0.31113 Ha/atom. The formation energy is 0.071 eV/atom.

Structure (POSCAR):
```
PuCdTc
1.0
-0.564 -3.021 -0.133
5.052 0.668 -1.013
-1.442 -0.109 8.548
Pu Cd Tc
2 2 2
Direct
0.013 0.026 0.820
0.987 0.974 0.180
0.343 0.686 0.428
0.657 0.314 0.572
0.280 0.560 0.881
0.720 0.440 0.119
```

=====

# 2
Here is PuCdTc4 after structural relaxation from the Alexandria database. Energies are from PBE-GGA.

Summary:
For the density of states at the Fermi level, the calculation gives 2.184 states/eV per atom. Its magnetization is 5.99 Bohr magnetons per cell. The calculation puts the total energy at -0.33896 Ha/atom. The formation energy is 0.228 eV/atom.

Structure (POSCAR):
```
PuCdTc4
1.0
-2.045 -3.519 3.435
2.710 -4.421 1.214
2.154 -0.559 4.839
Cd Tc Pu
1 4 1
Direct
0.250 0.250 0.250
0.625 0.625 0.126
0.625 0.126 0.625
0.625 0.625 0.625
0.126 0.625 0.625
0.000 0.000 0.000
```

=====

# 3
Here is PuThCdTc after structural relaxation from the Alexandria database. Energies are from PBE-GGA.

Summary:
For the density of states at the Fermi level, the calculation gives 2.782 states/eV per atom. Its magnetization is 5.35 Bohr magnetons per cell. The calculation puts the total energy at -0.29891 Ha/atom. The formation energy is 0.125 eV/atom.

Structure (POSCAR):
```
PuThCdTc
1.0
5.134 0.000 0.000
2.567 4.446 0.000
2.567 1.482 4.192
Cd Tc Th Pu
1 1 1 1
Direct
0.750 0.750 0.750
0.250 0.250 0.250
0.500 0.500 0.500
0.000 0.000 0.000
```

=====

# 4
Here is PuCdTe3 after structural relaxation from the Alexandria database. Energies are from PBE-GGA.

Summary:
For the formation energy without anion corrections, the calculation gives -0.562 eV per atom. For the density of states at the Fermi level, the calculation gives 2.234 states/eV per atom. Its magnetization is 7.97 Bohr magnetons per cell. The calculation puts the total energy at -0.20198 Ha/atom.

Structure (POSCAR):
```
PuCdTe3
1.0
-0.958 3.251 -3.007
-0.062 -4.924 -5.304
-11.276 2.767 6.584
Pu Cd Te
2 2 6
Direct
0.250 0.138 0.166
0.750 0.862 0.834
0.250 0.133 0.713
0.750 0.867 0.287
0.250 0.197 0.952
0.750 0.803 0.048
0.250 0.126 0.390
0.750 0.874 0.610
0.250 0.543 0.735
0.750 0.457 0.265
```